Below is crystalline LiZr2Tl at its relaxed geometry, with properties calculated at the GGA-PBE level.

The final energy comes out at -5.3264 eV/atom. For the formation energy from the elements, the calculation gives 0.02 eV per atom. The density of states at the Fermi level comes out at 5.0 states/eV per cell. As for the crystal system: monoclinic.

The space group is Pm (No. 6) and the conventional cell measures 3.232, 4.457 and 6.229 Å, with angles of 90.00, 104.83 and 90.00 degrees. The asymmetric unit holds Li at (0.000, 0.000, 0.000), Zr at (0.387, 0.500, 0.769), Zr at (0.755, 0.000, 0.500) and Tl at (0.130, 0.500, 0.247).